# 1
## LiBeBr2 (PBE-GGA)

Data for LiBeBr2 after structural relaxation.

abc: 3.4753 3.4753 32.4043
angles: 90.00 90.00 120.00
With the nearest neighbours (Å) after each atom.
Space group R-3m (No. 166, hexagonal axes)
Inequivalent atoms, fractional coordinates:
Li  0.0000  0.0000  0.0000 [3 per cell]  6 Li 3.48
Be  0.0000  0.0000  0.5000 [3 per cell]  6 Br 2.43
Br  0.0000  0.0000  0.1242 [6 per cell]  3 Be 2.43

Results
Polymorph energy (0 for the lowest one) in meV per atom: 204
Uncorrected formation energy in eV per atom: -0.410
Mass density in g cm⁻³: 2.583
Total magnetization in μB/atom: 0.00
DFT total energy in eV/atom: -2.657

# 2
## LiBeBr2 (PBE-GGA)

Data for LiBeBr2 after structural relaxation.

abc: 7.2278 7.2278 7.2278
angles: 90.00 90.00 90.00
With the nearest neighbours (Å) after each atom.
Space group F-43m (No. 216)
Inequivalent atoms, fractional coordinates:
Li  0.0000  0.0000  0.0000 [4 per cell]  4 Br 3.13, 4 Be 3.13
Be  0.2500  0.2500  0.7500 [4 per cell]  4 Li 3.13, 4 Br 3.13
Br  0.0000  0.0000  0.5000 [4 per cell]  4 Br 3.13, 4 Be 3.13
Br  0.2500  0.2500  0.2500 [4 per cell]  4 Li 3.13, 4 Br 3.13

Results
Polymorph energy (0 for the lowest one) in meV per atom: 909
Uncorrected formation energy in eV per atom: 0.294
Mass density in g cm⁻³: 3.092
Total magnetization in μB/atom: 0.21
DFT total energy in eV/atom: -1.952

> Which value of uncorrected formation energy does entry 2 give?

0.294 eV per atom

> uncorrected formation energy of number 2 (LiBeBr2)?

0.294 eV per atom

> What is the polymorph energy (0 for the lowest one) in the first record?

204 meV per atom

> Which of these has the lowest mass density?

number 1